(1)
BeRuPt2C | PBE-GGA | relaxed Values from VASP.

```
&SYSTEM
  ibrav = 0, nat = 5, ntyp = 4
/
ATOMIC_SPECIES
Ru 101.07 Ru.upf
C 12.01 C.upf
Pt 195.08 Pt.upf
Be 9.01 Be.upf
ATOMIC_POSITIONS crystal
Ru 0.000 0.500 0.000
C 0.000 0.000 0.000
Pt 0.000 0.000 0.500
Pt 0.500 0.000 0.000
Be 0.500 0.500 0.500
CELL_PARAMETERS angstrom
-1.411 3.229 2.125
-3.602 -0.558 -1.544
-0.960 -2.484 3.137
```

Properties
N(E_F)   0.123 states/eV per atom
Formation energy from the elements   144 kJ/mol of formula units
Total moment   0.000 μB per cell
V   13.404 A^3/atom

(2)
Ca2BiSbPb | PBE-GGA | relaxed Values from VASP.

```
&SYSTEM
  ibrav = 0, nat = 5, ntyp = 4
/
ATOMIC_SPECIES
Pb 207.20 Pb.upf
Sb 121.76 Sb.upf
Ca 40.08 Ca.upf
Bi 208.98 Bi.upf
ATOMIC_POSITIONS crystal
Pb 0.000 0.000 0.000
Sb 0.500 0.500 0.500
Ca 0.000 0.000 0.500
Ca 0.500 0.000 0.000
Bi 0.000 0.500 0.000
CELL_PARAMETERS angstrom
-5.343 2.240 1.011
-2.432 -4.822 -2.168
0.003 -2.413 5.363
```

Properties
N(E_F)   0.444 states/eV per atom
Total moment   0.000 μB per cell
V   40.259 A^3/atom
Formation energy (no corrections)   0.5 eV per formula unit

(3)
Ac9Pr2Y | PBE-GGA | relaxed Values from VASP.

```
&SYSTEM
  ibrav = 0, nat = 12, ntyp = 3
/
ATOMIC_SPECIES
Ac 227.00 Ac.upf
Pr 140.91 Pr.upf
Y 88.91 Y.upf
ATOMIC_POSITIONS crystal
Ac 0.500 0.500 0.000
Ac 0.500 0.500 0.333
Ac 0.500 0.500 0.667
Ac 0.500 0.000 0.165
Ac 0.500 0.000 0.500
Ac 0.500 0.000 0.835
Ac 0.000 0.500 0.165
Ac 0.000 0.500 0.500
Ac 0.000 0.500 0.835
Pr 0.000 0.000 0.332
Pr 0.000 0.000 0.668
Y 0.000 0.000 0.000
CELL_PARAMETERS angstrom
5.528 0.000 0.000
0.000 5.528 0.000
0.000 0.000 16.605
```

Properties
N(E_F)   1.657 states/eV per atom
Formation energy from the elements   24 kJ/mol of formula units
Total moment   0.000 μB per cell
V   42.285 A^3/atom

(4)
Ca2Tm2Mg15 | PBE-GGA | relaxed Values from VASP.

```
&SYSTEM
  ibrav = 0, nat = 19, ntyp = 3
/
ATOMIC_SPECIES
Ca 40.08 Ca.upf
Tm 168.93 Tm.upf
Mg 24.30 Mg.upf
ATOMIC_POSITIONS crystal
Ca 0.337 0.337 0.337
Ca 0.663 0.663 0.663
Tm 0.100 0.100 0.100
Tm 0.900 0.900 0.900
Mg 0.500 0.000 0.000
Mg 0.000 0.000 0.500
Mg 0.000 0.500 0.000
Mg 0.000 0.705 0.295
Mg 0.705 0.295 0.000
Mg 0.295 0.000 0.705
Mg 0.295 0.705 0.000
Mg 0.705 0.000 0.295
Mg 0.000 0.295 0.705
Mg 0.153 0.646 0.646
Mg 0.646 0.646 0.153
Mg 0.646 0.153 0.646
Mg 0.847 0.354 0.354
Mg 0.354 0.354 0.847
Mg 0.354 0.847 0.354
CELL_PARAMETERS angstrom
7.999 0.007 0.006
1.045 7.931 0.006
1.045 0.917 7.877
```

Properties
N(E_F)   0.801 states/eV per atom
Formation energy from the elements   4 kJ/mol of formula units
Total moment   0.000 μB per cell
V   26.294 A^3/atom

Table of total DFT energy (no corrections) (eV for the cell shown), in record order: -32.82 -15.22 -52.75 -36.83